Entry 1:
Below is crystalline Pu3ThZr2N6 at its relaxed geometry, with properties calculated at the PBE-GGA level.

Its total energy is -11.244 eV/atom. The calculation puts the uncorrected formation energy at -1.45 eV per atom.

The space group is C2/m (No. 12) and the conventional cell measures 5.978, 10.353 and 5.927 Å, with angles of 90.00, 109.55 and 90.00 degrees. Symmetry generates all atoms from Pu at (0.000, 0.000, 0.000), Pu at (0.000, 0.333, 0.000), Th at (0.000, 0.500, 0.500), Zr at (0.000, 0.167, 0.500), N at (0.228, 0.000, 0.740) and N at (0.243, 0.175, 0.257).

=====

Entry 2:
Below is crystalline RbCO3 at its relaxed geometry, with properties calculated at the PBE-GGA level.

Its total energy is -6.025 eV/atom. The calculation puts the uncorrected formation energy at -1.01 eV per atom.

The space group is Imma (No. 74) and the conventional cell measures 4.975, 10.647 and 5.951 Å, with angles of 90.00, 90.00 and 90.00 degrees. Symmetry generates all atoms from Rb at (0.000, 0.000, 0.000), C at (0.000, 0.250, 0.459), O at (0.000, 0.142, 0.540) and O at (0.250, 0.250, 0.250).

=====

Entry 3:
Below is crystalline BaSrHgAs at its relaxed geometry, with properties calculated at the PBE-GGA level.

Its energy of formation from the pure elements is -0.740 eV/atom. Its total energy is -2.879 eV/atom.

The space group is F-43m (No. 216) and the conventional cell measures 8.027, 8.027 and 8.027 Å, with angles of 90.00, 90.00 and 90.00 degrees. Symmetry generates all atoms from Ba at (0.000, 0.000, 0.000), Sr at (0.000, 0.000, 0.500), Hg at (0.250, 0.250, 0.750) and As at (0.250, 0.250, 0.250).

=====

Entry 4:
Below is crystalline La3Pm3YTe8 at its relaxed geometry, with properties calculated at the PBE-GGA level.

Its total energy is -5.558 eV/atom. The calculation puts the uncorrected formation energy at -1.52 eV per atom.

The space group is R-3m (No. 166, hexagonal axes) and the conventional cell measures 8.9747, 8.9747 and 22.2042 Å, with angles of 90.00, 90.00 and 120.00 degrees. Symmetry generates all atoms from La at (0.0000, 0.5000, 0.0000), Pm at (0.0000, 0.5000, 0.5000), Y at (0.0000, 0.0000, 0.5000), Te at (0.0000, 0.0000, 0.2477) and Te at (0.0008, 0.5004, 0.7521).

=====

Entry 5:
Below is crystalline PmDyBeGa at its relaxed geometry, with properties calculated at the PBE-GGA level.

Its energy of formation from the pure elements is -0.204 eV/atom. Its total energy is -4.230 eV/atom.

The space group is F-43m (No. 216) and the conventional cell measures 7.098, 7.098 and 7.098 Å, with angles of 90.00, 90.00 and 90.00 degrees. Symmetry generates all atoms from Pm at (0.000, 0.000, 0.000), Dy at (0.000, 0.000, 0.500), Be at (0.250, 0.250, 0.250) and Ga at (0.250, 0.250, 0.750).

=====

Entry 6:
Below is crystalline Li3Sc5O8 at its relaxed geometry, with properties calculated at the PBE-GGA level.

Its total energy is -7.758 eV/atom. The calculation puts the uncorrected formation energy at -2.94 eV per atom.

The space group is R-3m (No. 166, hexagonal axes) and the conventional cell measures 6.2199, 6.2199 and 15.1048 Å, with angles of 90.00, 90.00 and 120.00 degrees. Symmetry generates all atoms from Li at (0.0000, 0.5000, 0.0000), Sc at (0.0000, 0.0000, 0.0000), Sc at (0.0000, 0.0000, 0.5000), Sc at (0.0000, 0.5000, 0.5000), O at (0.0000, 0.0000, 0.2429) and O at (0.0027, 0.5013, 0.7512).

=====

Entry 7:
Below is crystalline NdTaAlOs2 at its relaxed geometry, with properties calculated at the PBE-GGA level.

Its energy of formation from the pure elements is -0.335 eV/atom. Its total energy is -8.900 eV/atom.

The space group is I-4m2 (No. 119) and the conventional cell measures 4.196, 4.196 and 11.223 Å, with angles of 90.00, 90.00 and 90.00 degrees. Symmetry generates all atoms from Nd at (0.000, 0.000, 0.000), Ta at (0.000, 0.500, 0.750), Al at (0.000, 0.500, 0.250) and Os at (0.000, 0.000, 0.387).

=====

Entry 8:
Below is crystalline ZrZn4Fe at its relaxed geometry, with properties calculated at the PBE-GGA level.

The excess energy over the best structure of this formula in the dataset comes out at 0.131 eV per atom. Its energy of formation from the pure elements is 0.046 eV/atom. Its total energy is -3.639 eV/atom.

The space group is C2/m (No. 12) and the conventional cell measures 13.190, 6.367 and 4.954 Å, with angles of 90.00, 112.06 and 90.00 degrees. Symmetry generates all atoms from Zr at (0.212, 0.000, 0.213), Zn at (0.000, 0.185, 0.000), Zn at (0.115, 0.208, 0.615), Zn at (0.175, 0.500, 0.175) and Fe at (0.000, 0.500, 0.271).

=====

Entry 9:
Below is crystalline La3Tl4 at its relaxed geometry, with properties calculated at the PBE-GGA level.

Its energy of formation from the pure elements is -0.418 eV/atom. Its total energy is -3.882 eV/atom.

The space group is R-3 (No. 148, hexagonal axes) and the conventional cell measures 14.8739, 14.8739 and 6.8300 Å, with angles of 90.00, 90.00 and 120.00 degrees. Symmetry generates all atoms from La at (0.0456, 0.8298, 0.2272), Tl at (0.0000, 0.0000, 0.0000), Tl at (0.0000, 0.0000, 0.5000) and Tl at (0.0549, 0.7939, 0.7032).

=====

Entry 10:
Below is crystalline BaHgIr2 at its relaxed geometry, with properties calculated at the PBE-GGA level.

Its energy of formation from the pure elements is 0.190 eV/atom. Its total energy is -4.797 eV/atom.

The space group is Pmm2 (No. 25) and the conventional cell measures 3.013, 3.984 and 7.749 Å, with angles of 90.00, 90.00 and 90.00 degrees. Symmetry generates all atoms from Ba at (0.000, 0.000, 0.000), Hg at (0.500, 0.500, 0.323), Ir at (0.000, 0.000, 0.593) and Ir at (0.500, 0.500, 0.692).

=====

Entry 11:
Below is crystalline AcDyPu2Se4 at its relaxed geometry, with properties calculated at the PBE-GGA level.

Its total energy is -8.058 eV/atom. The calculation puts the uncorrected formation energy at -1.64 eV per atom.

The space group is P2/m (No. 10) and the conventional cell measures 7.241, 4.204 and 7.401 Å, with angles of 90.00, 109.38 and 90.00 degrees. Symmetry generates all atoms from Ac at (0.000, 0.000, 0.000), Dy at (0.000, 0.500, 0.500), Pu at (0.500, 0.000, 0.500), Pu at (0.500, 0.500, 0.000), Se at (0.252, 0.000, 0.739) and Se at (0.262, 0.500, 0.268).